Computed, not measured: a relaxed structure of Ac2MnFeO6 at the GGA+U level of DFT.

Computed properties:
energy	-7.6088	eV/atom
space group	No. 123
spin magnetization	9.00	Bohr magnetons per cell

Cell: 5.6736 5.6736 4.0159 Å, 90.00 90.00 90.00°
Atoms (fractional coordinates):
Ac1 0.0000 0.5000 0.0000
Ac2 0.5000 0.0000 0.0000
Mn1 0.0000 0.0000 0.5000
Fe1 0.5000 0.5000 0.5000
O1 0.0000 0.0000 0.0000
O2 0.2525 0.2525 0.5000
O3 0.2525 0.7475 0.5000
O4 0.5000 0.5000 0.0000
O5 0.7475 0.2525 0.5000
O6 0.7475 0.7475 0.5000